Density functional theory data (GGA-PBE) for a geometry-optimized Sm3Cd3AgAu2 structure.

Cell and atoms, written as extended XYZ:
```
9
Lattice="7.954 0.000 0.000 -3.977 6.888 0.000 0.000 0.000 3.933" Properties=species:S:1:pos:R:3 pbc="T T T"
Sm -2.354 4.077 0.000
Sm 1.623 2.811 0.000
Sm 4.708 0.000 0.000
Cd -1.034 1.791 1.967
Cd 2.068 0.000 1.967
Cd 2.943 5.097 1.967
Ag 0.000 0.000 0.000
Au 0.000 4.592 1.967
Au 3.977 2.296 1.967
```

## Properties
- E_tot (Ry per atom) = -0.256
- spin magnetization (μB per cell) = 0.016
- energy relative to the elements (eV/atom) = -0.5802

=====

Density functional theory data (GGA-PBE) for a geometry-optimized Sm3Cd3Ag2Au structure.

Cell and atoms, written as extended XYZ:
```
9
Lattice="7.895 0.000 0.000 -3.948 6.838 0.000 0.000 0.000 4.025" Properties=species:S:1:pos:R:3 pbc="T T T"
Sm -2.370 4.106 0.000
Sm 1.577 2.732 0.000
Sm 4.741 0.000 0.000
Cd -1.038 1.797 2.013
Cd 2.075 0.000 2.013
Cd 2.910 5.040 2.013
Ag 0.000 4.558 2.013
Ag 3.948 2.279 2.013
Au 0.000 0.000 0.000
```

## Properties
- E_tot (Ry per atom) = -0.242
- spin magnetization (μB per cell) = 0.015
- energy relative to the elements (eV/atom) = -0.4270

=====

Density functional theory data (GGA-PBE) for a geometry-optimized Tb3Cd3AgAu2 structure.

Cell and atoms, written as extended XYZ:
```
9
Lattice="7.858 0.000 0.000 -3.929 6.805 0.000 0.000 0.000 3.886" Properties=species:S:1:pos:R:3 pbc="T T T"
Tb -1.608 2.785 0.000
Tb 3.216 0.000 0.000
Tb 2.321 4.020 0.000
Cd -2.904 5.030 1.943
Cd 1.025 1.775 1.943
Cd 5.809 0.000 1.943
Ag 0.000 0.000 0.000
Au 0.000 4.537 1.943
Au 3.929 2.268 1.943
```

## Properties
- E_tot (Ry per atom) = -0.255
- spin magnetization (μB per cell) = 0.015
- energy relative to the elements (eV/atom) = -0.5845

=====

Density functional theory data (GGA-PBE) for a geometry-optimized TbY2Cd3AgAu2 structure.

Cell and atoms, written as extended XYZ:
```
9
Lattice="3.839 0.000 0.000 0.000 6.824 3.941 0.000 -6.824 3.941" Properties=species:S:1:pos:R:3 pbc="T T T"
Tb 0.000 0.000 0.000
Y 0.000 -2.787 4.829
Y 0.000 2.787 4.829
Cd 1.920 -1.793 2.184
Cd 1.920 1.793 2.184
Cd 1.920 0.000 5.290
Ag 0.000 0.000 3.220
Au 1.920 -4.550 3.220
Au 1.920 4.550 3.220
```

## Properties
- E_tot (Ry per atom) = -0.285
- spin magnetization (μB per cell) = 0.013
- energy relative to the elements (eV/atom) = -0.5890

=====

Density functional theory data (GGA-PBE) for a geometry-optimized Y3TlCd2AgAu2 structure.

Cell and atoms, written as extended XYZ:
```
9
Lattice="3.864 0.000 0.000 0.000 6.825 3.975 0.000 -6.825 3.975" Properties=species:S:1:pos:R:3 pbc="T T T"
Y 0.000 0.000 0.000
Y 0.000 -2.793 3.102
Y 0.000 2.793 3.102
Tl 1.932 0.000 2.638
Cd 1.932 -1.794 5.782
Cd 1.932 1.794 5.782
Ag 0.000 0.000 4.785
Au 1.932 -4.508 4.691
Au 1.932 4.508 4.691
```

## Properties
- E_tot (Ry per atom) = -0.311
- spin magnetization (μB per cell) = 0.007

=====

Density functional theory data (GGA-PBE) for a geometry-optimized YCd2Ag4Au structure.

Cell and atoms, written as extended XYZ:
```
8
Lattice="4.869 0.000 0.000 0.000 6.693 0.000 0.000 0.000 5.006" Properties=species:S:1:pos:R:3 pbc="T T T"
Y 0.000 0.000 0.000
Cd 0.000 3.347 0.092
Cd 2.434 0.000 2.207
Ag 0.000 1.799 2.584
Ag 0.000 4.894 2.584
Ag 2.434 1.817 4.504
Ag 2.434 4.876 4.504
Au 2.434 3.347 1.990
```

## Properties
- E_tot (Ry per atom) = -0.220
- spin magnetization (μB per cell) = 0.017
- energy relative to the elements (eV/atom) = -0.1361